1.
A plane-wave DFT calculation with GGA-PBE was carried out for a relaxed structure of Y2BrCl.

Output
Energy above the lowest structure with this stoichiometry, meV/atom: 210.8
Raw total energy, eV/atom: -5.187
DOS(E_F), states/eV/f.u.: 1.86
Theoretical density, Mg/m³: 4.9
Energy relative to the elements, uncorrected, eV per atom: -1.0748

Cell: 9.3986 3.5344 6.1376 Å, 90.00 103.10 90.00°
Last column: nearest neighbours and their distance in Å.
Space group C2/m (No. 12)
Inequivalent atoms, fractional coordinates:
Y: 0.2442 0.0000 0.2437 [4 per cell]  3 Cl 3.01-3.11, 3 Br 3.06-3.11
Br: 0.0000 0.0000 0.5000 [2 per cell]  6 Y 3.06-3.11
Cl: 0.0000 0.5000 0.0000 [2 per cell]  6 Y 3.01-3.11



2.
A plane-wave DFT calculation with GGA-PBE was carried out for a relaxed structure of Nd4Cu2Hg.

Output
Energy above the lowest structure with this stoichiometry, meV/atom: 57.0
Raw total energy, eV/atom: -3.992
DOS(E_F), states/eV/f.u.: 9.23
Theoretical density, Mg/m³: 7.5
Formation energy from the elements, eV/atom: -0.05

Cell: 5.0212 5.0212 27.3859 Å, 90.00 90.00 120.00°
Last column: nearest neighbours and their distance in Å.
Space group R-3m (No. 166, hexagonal axes)
Inequivalent atoms, fractional coordinates:
Nd: 0.0000 0.0000 0.1180 [6 per cell]  3 Hg 3.19, 3 Cu 3.21
Nd: 0.0000 0.0000 0.2950 [6 per cell]  4 Cu 2.91-3.01
Cu: 0.0000 0.0000 0.4013 [6 per cell]  1 Hg 2.70, 4 Nd 2.91-3.01
Hg: 0.0000 0.0000 0.5000 [3 per cell]  2 Cu 2.70



3.
A plane-wave DFT calculation with GGA-PBE was carried out for a relaxed structure of PmTl2PdO6.

Output
Raw total energy, eV/atom: -5.624
DOS(E_F), states/eV/f.u.: 3.75
Theoretical density, Mg/m³: 8.6
Energy relative to the elements, uncorrected, eV per atom: -1.1817

Cell: 5.7474 5.7474 15.3896 Å, 90.00 90.00 120.00°
Last column: nearest neighbours and their distance in Å.
Space group R3 (No. 146, hexagonal axes)
Inequivalent atoms, fractional coordinates:
Pm: 0.0000 0.0000 0.0000 [3 per cell]  6 O 2.29-2.46
Tl: 0.0000 0.0000 0.2609 [3 per cell]  3 O 2.33
Tl: 0.0000 0.0000 0.7851 [3 per cell]  6 O 2.26-2.44
Pd: 0.0000 0.0000 0.4865 [3 per cell]  6 O 2.05-2.06
O: 0.0075 0.3973 0.2248 [9 per cell]  1 Pd 2.05
O: 0.0586 0.6844 0.0717 [9 per cell]  1 Pd 2.06, 1 Tl 2.26, 1 Pm 2.29